Arrangement a

A geometry-optimized CaMnSi2Rh structure, computed with PBE.

Computed properties:
The crystal system is tetragonal.

Cell: 4.896 4.896 4.080 Å, 90.00 90.00 90.00°
Space group P4/mmm (No. 123)
Symmetry-distinct sites (fractional):
Ca 0.000 0.000 0.000 x1
Mn 0.000 0.000 0.500 x1
Si 0.000 0.500 0.000 x2
Rh 0.500 0.500 0.500 x1


Arrangement b

A geometry-optimized CaMnSi2Rh structure, computed with PBE.

Computed properties:
The crystal system is tetragonal.

Cell: 4.032 4.032 10.259 Å, 90.00 90.00 90.00°
Space group I-4m2 (No. 119)
Symmetry-distinct sites (fractional):
Ca 0.000 0.000 0.000 x2
Mn 0.000 0.500 0.250 x2
Si 0.000 0.000 0.378 x4
Rh 0.000 0.500 0.750 x2


Each structure's energy above the most stable one, in meV/atom: arrangement a 2777; arrangement b 0.


Arrangement a

A geometry-optimized Ca2MnRu structure, computed with PBE.

Computed properties:
The crystal system is monoclinic.

Cell: 3.388 3.374 8.406 Å, 90.00 90.08 90.00°
Space group Pm (No. 6)
Symmetry-distinct sites (fractional):
Ca 0.000 0.000 0.000 x1
Ca 0.500 0.500 0.396 x1
Mn 0.001 0.000 0.647 x1
Ru 0.501 0.500 0.758 x1


Arrangement b

A geometry-optimized Ca2MnRu structure, computed with PBE.

Computed properties:
The crystal system is tetragonal.

Cell: 8.001 8.001 5.817 Å, 90.00 90.00 90.00°
Space group I-42d (No. 122)
Symmetry-distinct sites (fractional):
Ca 0.217 0.250 0.125 x8
Mn 0.000 0.000 0.500 x4
Ru 0.000 0.000 0.000 x4


Arrangement c

A geometry-optimized Ca2MnRu structure, computed with PBE.

Computed properties:
The crystal system is tetragonal.

Cell: 3.676 3.676 6.543 Å, 90.00 90.00 90.00°
Space group P4/mmm (No. 123)
Symmetry-distinct sites (fractional):
Ca 0.000 0.000 0.230 x2
Mn 0.500 0.500 0.500 x1
Ru 0.500 0.500 0.000 x1


Each structure's energy above the most stable one, in meV/atom: arrangement a 0; arrangement b 497; arrangement c 275.


Arrangement a

A geometry-optimized Ca2MnRu structure, computed with PBE.

Computed properties:
The crystal system is tetragonal.

Cell: 4.885 4.885 7.003 Å, 90.00 90.00 90.00°
Space group I-4m2 (No. 119)
Symmetry-distinct sites (fractional):
Ca 0.000 0.000 0.000 x2
Ca 0.000 0.500 0.250 x2
Mn 0.000 0.500 0.750 x2
Ru 0.000 0.000 0.500 x2


Arrangement b

A geometry-optimized Ca2MnRu structure, computed with PBE.

Computed properties:
The crystal system is trigonal.

Cell: 3.2979 3.2979 29.2435 Å, 90.00 90.00 120.00°
Space group R-3m (No. 166, hexagonal axes)
Symmetry-distinct sites (fractional):
Ca 0.0000 0.0000 0.2391 x6
Mn 0.0000 0.0000 0.0000 x3
Ru 0.0000 0.0000 0.5000 x3


Arrangement c

A geometry-optimized Ca2MnRu structure, computed with PBE.

Computed properties:
The crystal system is cubic.

Cell: 7.062 7.062 7.062 Å, 90.00 90.00 90.00°
Space group Fm-3m (No. 225)
Symmetry-distinct sites (fractional):
Ca 0.250 0.250 0.250 x8
Mn 0.000 0.000 0.000 x4
Ru 0.000 0.000 0.500 x4


Arrangement d

A geometry-optimized Ca2MnRu structure, computed with PBE.

Computed properties:
The crystal system is tetragonal.

Cell: 4.509 4.509 4.248 Å, 90.00 90.00 90.00°
Space group P4/mmm (No. 123)
Symmetry-distinct sites (fractional):
Ca 0.000 0.500 0.000 x2
Mn 0.000 0.000 0.500 x1
Ru 0.500 0.500 0.500 x1


Each structure's energy above the most stable one, in meV/atom: arrangement a 0; arrangement b 201; arrangement c 33; arrangement d 50.